The following is a DFT calculation (PBE) of a geometry-optimized UInI6 structure.

As for the formation energy from raw total energies: -0.69 eV/atom. As for the total magnetization: 0.13 μB per atom. As for the total energy: -3.609 eV per atom. Its density of states at the Fermi level is 0.02 states/eV per atom.

a = 7.8674 Å, b = 7.8674 Å, c = 7.9136 Å
α = 98.41°, β = 98.41°, γ = 118.42°
Element x y z (fractional)
U: 0.5000 0.5000 0.5000
I: 0.1339 0.4391 0.2735
I: 0.7354 0.7354 0.2782
I: 0.8661 0.5609 0.7265
I: 0.2646 0.2646 0.7218
I: 0.5609 0.8661 0.7265
I: 0.4391 0.1339 0.2735
In: 0.0000 0.0000 0.0000